# CsLa2Ag | Alexandria via LeMat-Bulk | PBE-GGA | relaxed
# - E_tot (eV/atom) = -2.9804
# - polymorph energy (0 for the lowest one) (meV/atom) = 57
# - V (Å³/atom) = 38.4
# - formation energy from the elements (eV/f.u.) = 1.64
# - magnetic moment (μB/cell) = 0.0
data_CsLa2Ag
_chemical_formula_sum 'Cs4 La8 Ag4'
_cell_length_a 9.1728
_cell_length_b 9.1728
_cell_length_c 7.3000
_cell_angle_alpha 90.00
_cell_angle_beta 90.00
_cell_angle_gamma 90.00
_symmetry_space_group_name_H-M 'I -4 2 d'
_symmetry_Int_Tables_number 122
_symmetry_space_group_name_Hall 'I -4 2bw'
loop_
_atom_site_label
_atom_site_type_symbol
_atom_site_fract_x
_atom_site_fract_y
_atom_site_fract_z
Cs1 Cs 0.0000 0.0000 0.0000
La1 La 0.2011 0.2500 0.6250
Ag1 Ag 0.0000 0.0000 0.5000

# Np3Fe5H12 | Alexandria via LeMat-Bulk | PBE-GGA | relaxed
# - E_tot (eV/atom) = -5.9934
# - V (Å³/atom) = 8.5
# - magnetic moment (μB/cell) = 130.2
data_Np3Fe5H12
_chemical_formula_sum 'Np24 Fe40 H96'
_cell_length_a 11.0804
_cell_length_b 11.0804
_cell_length_c 11.0804
_cell_angle_alpha 90.00
_cell_angle_beta 90.00
_cell_angle_gamma 90.00
_symmetry_space_group_name_H-M 'I a -3 d'
_symmetry_Int_Tables_number 230
_symmetry_space_group_name_Hall '-I 4bd 2c 3'
loop_
_atom_site_label
_atom_site_type_symbol
_atom_site_fract_x
_atom_site_fract_y
_atom_site_fract_z
Np1 Np 0.0000 0.2500 0.1250
Fe1 Fe 0.0000 0.0000 0.0000
Fe2 Fe 0.0000 0.2500 0.3750
H1 H 0.0363 0.0526 0.6379

# AgSbI2F | Alexandria via LeMat-Bulk | PBE-GGA | relaxed
# - E_form (uncorrected) (meV per atom) = -158
# - E_tot (eV/atom) = -2.5468
# - polymorph energy (0 for the lowest one) (meV/atom) = 0
# - V (Å³/atom) = 30.3
# - magnetic moment (μB/cell) = 0.0
data_AgSbI2F
_chemical_formula_sum 'Ag1 Sb1 I2 F1'
_cell_length_a 6.0081
_cell_length_b 6.0081
_cell_length_c 4.1999
_cell_angle_alpha 90.00
_cell_angle_beta 90.00
_cell_angle_gamma 90.00
_symmetry_space_group_name_H-M 'P 4/m m m'
_symmetry_Int_Tables_number 123
_symmetry_space_group_name_Hall '-P 4 2'
loop_
_atom_site_label
_atom_site_type_symbol
_atom_site_fract_x
_atom_site_fract_y
_atom_site_fract_z
Ag1 Ag 0.0000 0.0000 0.0000
Sb1 Sb 0.5000 0.5000 0.0000
I1 I 0.0000 0.5000 0.5000
F1 F 0.5000 0.5000 0.5000

# Hg2PtPb2 | Alexandria via LeMat-Bulk | PBE-GGA | relaxed
# - E_tot (eV/atom) = -2.6806
# - polymorph energy (0 for the lowest one) (meV/atom) = 34
# - V (Å³/atom) = 25.7
# - formation energy from the elements (eV/f.u.) = 0.66
# - magnetic moment (μB/cell) = 0.0
data_Hg2PtPb2
_chemical_formula_sum 'Hg4 Pt2 Pb4'
_cell_length_a 7.2392
_cell_length_b 7.2392
_cell_length_c 4.9061
_cell_angle_alpha 90.00
_cell_angle_beta 90.00
_cell_angle_gamma 90.00
_symmetry_space_group_name_H-M 'P 4/m b m'
_symmetry_Int_Tables_number 127
_symmetry_space_group_name_Hall '-P 4 2ab'
loop_
_atom_site_label
_atom_site_type_symbol
_atom_site_fract_x
_atom_site_fract_y
_atom_site_fract_z
Hg1 Hg 0.1445 0.3555 0.0000
Pt1 Pt 0.0000 0.0000 0.0000
Pb1 Pb 0.1743 0.6743 0.5000

# LiGe2PbS6 | Alexandria via LeMat-Bulk | PBE-GGA | relaxed
# - E_form (uncorrected) (meV per atom) = -410
# - E_tot (eV/atom) = -4.3722
# - V (Å³/atom) = 23.8
# - magnetic moment (μB/cell) = 0.0
data_LiGe2PbS6
_chemical_formula_sum 'Li4 Ge8 Pb4 S24'
_cell_length_a 12.7658
_cell_length_b 11.5985
_cell_length_c 6.7695
_cell_angle_alpha 90.00
_cell_angle_beta 108.16
_cell_angle_gamma 90.00
_symmetry_space_group_name_H-M 'C 1 2/c 1'
_symmetry_Int_Tables_number 15
_symmetry_space_group_name_Hall '-C 2yc'
loop_
_atom_site_label
_atom_site_type_symbol
_atom_site_fract_x
_atom_site_fract_y
_atom_site_fract_z
Li1 Li 0.0000 0.2400 0.2500
Ge1 Ge 0.2076 0.4230 0.7229
Pb1 Pb 0.0000 0.1413 0.7500
S1 S 0.1094 0.0694 0.1682
S2 S 0.1302 0.4372 0.9822
S3 S 0.1549 0.2490 0.5870

# Hf2BiOs | Alexandria via LeMat-Bulk | PBE-GGA | relaxed
# - E_tot (eV/atom) = -8.0542
# - V (Å³/atom) = 30.3
# - formation energy from the elements (eV/f.u.) = 2.80
# - magnetic moment (μB/cell) = 0.0
data_Hf2BiOs
_chemical_formula_sum 'Hf8 Bi4 Os4'
_cell_length_a 5.8256
_cell_length_b 5.8256
_cell_length_c 14.3059
_cell_angle_alpha 90.00
_cell_angle_beta 90.00
_cell_angle_gamma 90.00
_symmetry_space_group_name_H-M 'I -4 2 d'
_symmetry_Int_Tables_number 122
_symmetry_space_group_name_Hall 'I -4 2bw'
loop_
_atom_site_label
_atom_site_type_symbol
_atom_site_fract_x
_atom_site_fract_y
_atom_site_fract_z
Hf1 Hf 0.1811 0.2500 0.1250
Bi1 Bi 0.0000 0.0000 0.5000
Os1 Os 0.0000 0.0000 0.0000